First-principles (PBE) data for a geometry-optimized Ba4PdAu2 structure, as listed in Alexandria via LeMat-Bulk.

Values from the calculation:
For the volume, the calculation gives 293.8 Å³/cell. For the energy above the most stable polymorph in this dataset, the calculation gives 0 meV per atom. The formation energy comes out at -0.555 eV/atom. As for the space group: C2/m, No. 12. The total DFT energy (no corrections) comes out at -23.32 eV for the cell shown.

```
data_Ba4PdAu2
_symmetry_space_group_name_H-M 'P 1'
_symmetry_Int_Tables_number 1
_symmetry_space_group_name_Hall 'P 1'
_cell_length_a 4.7366
_cell_length_b 8.1699
_cell_length_c 8.9389
_cell_angle_alpha 117.15
_cell_angle_beta 105.36
_cell_angle_gamma 90.00
loop_
_atom_site_label
_atom_site_type_symbol
_atom_site_fract_x
_atom_site_fract_y
_atom_site_fract_z
Au1 Au 0.2567 0.2576 0.5134
Au2 Au 0.7433 0.7424 0.4866
Ba1 Ba 0.3766 0.0316 0.7532
Ba2 Ba 0.8750 0.5535 0.7501
Ba3 Ba 0.1250 0.4465 0.2499
Ba4 Ba 0.6234 0.9684 0.2468
Pd1 Pd 0.0000 0.0000 0.0000
```